AlIn2MoO6: optimized geometry, PBE+U.

Cell lengths 5.6501, 5.6501, 5.6501 Å; angles 56.80, 56.80, 56.80 degrees
Last column: nearest neighbours and their distance in Å.
Element x y z (fractional)
Al 0.0000 0.0000 0.0000  6 O 1.93-1.99
In 0.2131 0.2131 0.2131  6 O 2.15-2.31
In 0.7113 0.7113 0.7113  6 O 2.12-2.33
Mo 0.4987 0.4987 0.4987  6 O 2.14-2.21
O 0.1118 0.7973 0.3624  1 Al 1.99, 1 In 2.12, 1 Mo 2.14
O 0.2620 0.6433 0.8902  1 Al 1.93, 1 In 2.15
O 0.3624 0.1118 0.7973  1 Al 1.99, 1 In 2.12, 1 Mo 2.14
O 0.6433 0.8902 0.2620  1 Al 1.93, 1 In 2.15
O 0.7973 0.3624 0.1118  1 Al 1.99, 1 In 2.12, 1 Mo 2.14
O 0.8902 0.2620 0.6433  1 Al 1.93, 1 In 2.15

## Properties
Theoretical density in Mg/m³: 6.3
Uncorrected energy in eV per atom: -6.497